## Sm2Ho2Rh3 (PBE)

Data for a relaxed Sm2Ho2Rh3 crystal.

The structure in POSCAR format:
```
Sm2Ho2Rh3
1.0
4.163 -2.408 0.000
4.163 2.408 0.000
-2.777 0.000 8.107
Sm Ho Rh
2 2 3
Direct
0.124 0.124 0.372
0.876 0.876 0.628
0.374 0.374 0.122
0.626 0.626 0.878
0.000 0.000 0.000
0.253 0.253 0.759
0.747 0.747 0.241
```

Properties
The total magnetization is 0.000 μB/atom. Its space-group type is No. 12. The total energy is -45.90 eV for the cell shown.

## TaSbMo (PBE)

Data for a relaxed TaSbMo crystal.

The structure in POSCAR format:
```
TaSbMo
1.0
-1.722 1.722 4.621
1.722 -1.722 4.621
1.722 1.722 -4.621
Ta Sb Mo
1 1 1
Direct
0.000 0.000 0.000
0.323 0.323 0.000
0.654 0.654 0.000
```

Properties
The total magnetization is 0.000 μB/atom. The calculation puts the raw formation energy at 151 meV per atom. Its space-group type is No. 107.

## LaSi4Ni9 (PBE)

Data for a relaxed LaSi4Ni9 crystal.

The structure in POSCAR format:
```
LaSi4Ni9
1.0
-3.932 3.932 5.734
3.932 -3.932 5.734
3.932 3.932 -5.734
La Si Ni
2 8 18
Direct
0.250 0.250 0.000
0.750 0.750 0.000
0.053 0.553 0.840
0.213 0.053 0.500
0.287 0.787 0.840
0.447 0.287 0.500
0.553 0.713 0.500
0.713 0.213 0.160
0.787 0.947 0.500
0.947 0.447 0.160
0.000 0.500 0.500
0.054 0.816 0.500
0.069 0.204 0.273
0.184 0.684 0.238
0.204 0.931 0.135
0.296 0.431 0.727
0.316 0.554 0.500
0.431 0.704 0.135
0.446 0.946 0.762
0.500 0.000 0.500
0.554 0.054 0.238
0.569 0.296 0.865
0.684 0.446 0.500
0.704 0.569 0.273
0.796 0.069 0.865
0.816 0.316 0.762
0.931 0.796 0.727
0.946 0.184 0.500
```

Properties
The total magnetization is 0.000 μB/atom. The calculation puts the raw formation energy at -589 meV per atom. Its space-group type is No. 140.

| no. | calculated volume (Å³ per cell) |
| --- | --- |
| 1 | 163 |
| 2 | 55 |
| 3 | 355 |